## La12Nd7Dy (GGA-PBE)

Data for crystalline La12Nd7Dy at its relaxed geometry.

Calculated values
As for the total DFT energy (no corrections): -93.561 eV for the cell shown. The value obtained for the total moment is 0.0 μB per cell.

abc: 8.965 8.965 8.965
angles: 89.55 89.55 89.55
Positions (direct):
La 0.015 0.356 0.896
La 0.104 0.985 0.644
La 0.220 0.755 0.355
La 0.245 0.645 0.780
La 0.355 0.220 0.755
La 0.356 0.896 0.015
La 0.644 0.104 0.985
La 0.645 0.780 0.245
La 0.755 0.355 0.220
La 0.780 0.245 0.645
La 0.896 0.015 0.356
La 0.985 0.644 0.104
Nd 0.000 0.000 0.000
Nd 0.117 0.361 0.429
Nd 0.361 0.429 0.117
Nd 0.429 0.117 0.361
Nd 0.571 0.883 0.639
Nd 0.639 0.571 0.883
Nd 0.883 0.639 0.571
Dy 0.500 0.500 0.500

***

## SrNiSb2Rh (GGA-PBE)

Data for crystalline SrNiSb2Rh at its relaxed geometry.

Calculated values
As for the raw formation energy: -0.5789 eV per atom. The value obtained for the total moment is 0.0 μB per cell.

abc: 6.394 6.394 6.394
angles: 138.39 138.39 60.30
Positions (direct):
Sr 0.000 0.000 0.000
Ni 0.250 0.750 0.500
Sb 0.362 0.362 0.000
Sb 0.638 0.638 0.000
Rh 0.750 0.250 0.500

***

## Cu4Cl2O (GGA-PBE)

Data for crystalline Cu4Cl2O at its relaxed geometry.

Calculated values
As for the raw formation energy: -0.1872 eV per atom. The value obtained for the total moment is 0.0 μB per cell.

abc: 8.628 8.628 8.628
angles: 155.31 155.31 35.20
Positions (direct):
Cu 0.000 0.500 0.500
Cu 0.178 0.178 0.000
Cu 0.500 0.000 0.500
Cu 0.822 0.822 0.000
Cl 0.325 0.325 0.000
Cl 0.675 0.675 0.000
O 0.000 0.000 0.000

***

## Nd2HoThP4 (GGA-PBE)

Data for crystalline Nd2HoThP4 at its relaxed geometry.

Calculated values
As for the total DFT energy (no corrections): -55.814 eV for the cell shown. The value obtained for the total moment is 0.0 μB per cell.

abc: 7.116 4.123 7.146
angles: 90.00 109.43 90.00
Positions (direct):
Nd 0.000 0.000 0.000
Nd 0.500 0.500 0.000
Ho 0.000 0.500 0.500
Th 0.500 0.000 0.500
P 0.244 0.000 0.741
P 0.249 0.500 0.256
P 0.751 0.500 0.744
P 0.756 0.000 0.259

***

## PaTiSi2Tc (GGA-PBE)

Data for crystalline PaTiSi2Tc at its relaxed geometry.

Calculated values
As for the raw formation energy: -0.6680 eV per atom. The value obtained for the total moment is 0.0 μB per cell.

abc: 6.181 6.181 6.181
angles: 142.59 142.59 53.94
Positions (direct):
Pa 0.000 0.000 0.000
Ti 0.750 0.250 0.500
Si 0.393 0.393 0.000
Si 0.607 0.607 0.000
Tc 0.250 0.750 0.500

***

## Cs2Ca2Cl5 (GGA-PBE)

Data for crystalline Cs2Ca2Cl5 at its relaxed geometry.

Calculated values
As for the raw formation energy: -1.9507 eV per atom. The value obtained for the total moment is 0.4 μB per cell.

abc: 8.591 8.591 8.660
angles: 105.18 105.18 36.21
Positions (direct):
Cs 0.107 0.107 0.338
Cs 0.893 0.893 0.662
Ca 0.357 0.357 0.125
Ca 0.643 0.643 0.875
Cl 0.175 0.175 0.963
Cl 0.323 0.323 0.401
Cl 0.500 0.500 0.000
Cl 0.677 0.677 0.599
Cl 0.825 0.825 0.037